Computed, not measured: a geometry-optimized BaCr3W structure at the PBE level of DFT.

For the total DFT energy (no corrections), the calculation gives -7.613 eV/atom. As for the energy relative to the elements: 1.136 eV per atom. The value obtained for the density of states at the Fermi level is 1.63 states/eV/cell. Its space group is Pm-3m. The value obtained for the density is 6713 kg/m3. For the offset from the most stable computed form, the calculation gives 0 meV/atom.

a b c (Å): 4.9054 4.9054 4.9054
angles (deg): 90.00 90.00 90.00
Closest atoms and distances in Å follow each position.
Fractional coordinates of all 5 atoms:
Cr  0.0000  0.5000  0.0000  2 W 2.45
Cr  0.0000  0.0000  0.5000  2 W 2.45
Cr  0.5000  0.0000  0.0000  2 W 2.45
Ba  0.5000  0.5000  0.5000  12 Cr 3.47
W  0.0000  0.0000  0.0000  6 Cr 2.45


Computed, not measured: a geometry-optimized BaCr2W structure at the PBE level of DFT.

For the total DFT energy (no corrections), the calculation gives -7.693 eV/atom. As for the energy relative to the elements: 0.838 eV per atom. The value obtained for the density of states at the Fermi level is 4.04 states/eV/cell. Its space group is P2/m. The value obtained for the density is 8238 kg/m3. For the offset from the most stable computed form, the calculation gives 37 meV/atom.

a b c (Å): 4.0069 3.0091 7.1515
angles (deg): 83.63 90.00 90.00
Closest atoms and distances in Å follow each position.
Fractional coordinates of all 4 atoms:
Ba  0.5000  0.7500  0.7500  2 Ba 3.01, 4 Cr 3.35
Cr  0.0000  0.8882  0.1151  1 Cr 2.01
Cr  0.0000  0.6118  0.3849  1 Cr 2.01
W  0.5000  0.2500  0.2500  4 Cr 2.52


Computed, not measured: a geometry-optimized BaCr2W structure at the PBE level of DFT.

For the total DFT energy (no corrections), the calculation gives -7.113 eV/atom. As for the energy relative to the elements: 1.417 eV per atom. The value obtained for the density of states at the Fermi level is 3.94 states/eV/cell. Its space group is Cmmm. The value obtained for the density is 8784 kg/m3. For the offset from the most stable computed form, the calculation gives 617 meV/atom.

a b c (Å): 5.2018 5.2018 3.0347
angles (deg): 89.98 89.98 101.82
Closest atoms and distances in Å follow each position.
Fractional coordinates of all 4 atoms:
Ba  0.0000  0.5000  0.5000  8 Cr 3.01, 2 Ba 3.03, 2 W 3.28
Cr  0.0000  0.0000  0.0000  4 W 3.01, 4 Ba 3.01, 4 Cr 3.03-3.28
Cr  0.5000  0.5000  0.0000  4 Ba 3.01, 4 W 3.01, 4 Cr 3.03-3.28
W  0.5000  0.0000  0.5000  8 Cr 3.01, 2 W 3.03, 2 Ba 3.28


Computed, not measured: a geometry-optimized BaCr2W structure at the PBE level of DFT.

For the total DFT energy (no corrections), the calculation gives -7.730 eV/atom. As for the energy relative to the elements: 0.801 eV per atom. The value obtained for the density of states at the Fermi level is 3.93 states/eV/cell. Its space group is P4/mmm. The value obtained for the density is 8300 kg/m3. For the offset from the most stable computed form, the calculation gives 0 meV/atom.

a b c (Å): 3.3491 3.3476 7.5867
angles (deg): 90.00 90.00 90.00
Closest atoms and distances in Å follow each position.
Fractional coordinates of all 4 atoms:
Ba  0.5000  0.5000  0.7500  4 Ba 3.35, 8 Cr 3.62
Cr  0.0000  0.0000  0.1116  1 Cr 2.10
Cr  0.0000  0.0000  0.3884  1 Cr 2.10
W  0.5000  0.5000  0.2500  8 Cr 2.59


- offset from the most stable computed form of number 4 (BaCr2W)?
  0 meV/atom